[1]
Density functional theory data (PBE) for an optimized crystal structure of Y3Sc.

Spin magnetization, μB per formula unit: 0.0
DFT total energy, eV/atom: -6.38
Polymorph energy (0 for the lowest one), eV per formula unit: 0.13

Cell lengths 4.946, 4.946, 4.946 Å; angles 90.00, 90.00, 90.00 degrees
Space group Pm-3m (No. 221)
One atom of each set of equivalent atoms:
Y  0.000  0.000  0.500 [3 per cell]
Sc  0.500  0.500  0.500 [1 per cell]

---

[2]
Density functional theory data (PBE) for an optimized crystal structure of Y2Sc.

Spin magnetization, μB per formula unit: 0.0
DFT total energy, eV/atom: -6.37
Polymorph energy (0 for the lowest one), eV per formula unit: 0.10

Cell lengths 4.866, 14.741, 4.947 Å; angles 90.00, 90.00, 90.00 degrees
Space group Cmcm (No. 63)
One atom of each set of equivalent atoms:
Y  0.000  0.080  0.250 [4 per cell]
Y  0.000  0.248  0.750 [4 per cell]
Sc  0.000  0.419  0.250 [4 per cell]

---

[3]
Density functional theory data (PBE) for an optimized crystal structure of Y5Sc4.

Spin magnetization, μB per formula unit: 0.0
DFT total energy, eV/atom: -6.34

Cell lengths 10.303, 10.303, 4.865 Å; angles 90.00, 90.00, 90.00 degrees
Space group I4/mmm (No. 139)
One atom of each set of equivalent atoms:
Y  0.000  0.000  0.000 [2 per cell]
Y  0.169  0.169  0.500 [8 per cell]
Sc  0.000  0.342  0.000 [8 per cell]

---

[4]
Density functional theory data (PBE) for an optimized crystal structure of Y2Sc3.

Spin magnetization, μB per formula unit: 0.0
DFT total energy, eV/atom: -6.26
Polymorph energy (0 for the lowest one), eV per formula unit: 0.31

Cell lengths 6.620, 8.747, 9.616 Å; angles 90.00, 90.00, 90.00 degrees
Space group Pbcn (No. 60)
One atom of each set of equivalent atoms:
Y  0.112  0.190  0.095 [8 per cell]
Sc  0.000  0.148  0.750 [4 per cell]
Sc  0.145  0.472  0.871 [8 per cell]

---

[5]
Density functional theory data (PBE) for an optimized crystal structure of Y3Sc4.

Spin magnetization, μB per formula unit: 0.0
DFT total energy, eV/atom: -6.33
Polymorph energy (0 for the lowest one), eV per formula unit: 0.00

Cell lengths 3.433, 4.705, 24.002 Å; angles 90.00, 90.00, 90.00 degrees
Space group Immm (No. 71)
One atom of each set of equivalent atoms:
Y  0.000  0.000  0.000 [2 per cell]
Y  0.000  0.000  0.144 [4 per cell]
Sc  0.000  0.000  0.283 [4 per cell]
Sc  0.000  0.000  0.427 [4 per cell]

---

[6]
Density functional theory data (PBE) for an optimized crystal structure of Y2Sc.

Spin magnetization, μB per formula unit: 0.0
DFT total energy, eV/atom: -6.31
Polymorph energy (0 for the lowest one), eV per formula unit: 0.27

Cell lengths 5.4839, 5.4839, 3.3889 Å; angles 90.00, 90.00, 120.00 degrees
Space group P6/mmm (No. 191)
One atom of each set of equivalent atoms:
Y  0.3333  0.6667  0.0000 [2 per cell]
Sc  0.0000  0.0000  0.5000 [1 per cell]

---

no.,energy of formation (eV per atom)
1,0.05
2,0.05
3,0.06
4,0.13
5,0.06
6,0.11